Computed, not measured: a relaxed BaLi2Au crystal at the GGA-PBE level of DFT.

abc: 5.2052 5.2052 5.2052
angles: 60.00 60.00 60.00
Positions (direct):
Ba1 0.0000 0.0000 0.0000
Au1 0.5000 0.5000 0.5000
Li1 0.7500 0.7500 0.7500
Li2 0.2500 0.2500 0.2500

## Properties
As for the spin magnetization: 0.00 μB per atom. The calculation puts the calculated volume at 99.7 Å³/cell. For the formation energy, the calculation gives -0.152 eV/atom. As for the polymorph energy (0 for the lowest one): 246 meV/atom. As for the space group: No. 225.